Record 1
Here is a crystal of BaZnNi2 relaxed with PBEsol from Alexandria via LeMat-Bulk. Energies are from SCAN.

Structure (POSCAR):
```
BaZnNi2
1.0
4.1384 0.0000 0.0000
2.0692 3.5840 0.0000
2.0692 1.1947 5.4697
Zn Ba Ni
1 1 2
Cartesian
4.1384 2.3893 3.7817
2.0692 1.1947 1.3645
6.2076 3.5840 4.1246
2.0692 1.1946 4.4036
```

Results
Crystal system: trigonal
Formation enthalpy at 0 K, meV/atom: -72

---

Record 2
Here is a crystal of Ba6Gd2Al4O15 relaxed with PBEsol from Alexandria via LeMat-Bulk. Energies are from SCAN.

Structure (POSCAR):
```
Ba6Gd2Al4O15
1.0
5.9154 0.0000 0.0000
0.0000 7.8702 -0.0046
0.0000 -0.4814 18.3495
Ba O Al Gd
12 30 8 4
Cartesian
1.4483 3.8834 1.4961
1.6337 -0.3611 13.7621
4.4267 7.2028 16.6873
1.4887 7.4436 7.5125
1.4483 3.7461 7.6740
4.2817 -0.1204 4.5874
1.9357 3.5740 13.7598
4.4671 3.5053 16.8488
1.4887 0.1859 1.6576
4.4671 3.6427 10.6708
4.4267 -0.0548 10.8323
3.9797 3.8147 4.5851
4.5196 7.2388 7.1938
3.9884 5.0671 14.9379
1.3958 6.9981 16.3686
4.4670 3.5792 1.7007
5.8091 1.3731 18.2716
3.9884 2.0809 12.5817
2.6353 5.8556 3.0417
2.9397 1.8502 0.0609
0.1062 1.6138 9.0968
5.7288 2.0070 5.6553
5.7288 5.6225 3.5148
5.8091 5.7749 9.2480
0.1865 1.7662 14.8301
1.3958 0.1500 11.1510
3.2801 1.5331 15.3031
4.7027 -0.3611 13.7621
2.6353 1.7739 6.1284
4.4670 4.0502 7.4695
3.2801 5.6149 12.2165
0.1062 6.0156 0.0733
1.4484 3.3385 10.8754
4.5196 0.3907 1.9763
0.1865 5.3818 12.6895
2.9757 1.6095 9.2357
1.4484 3.8095 16.6442
2.9757 5.5386 18.2839
1.9270 2.3217 3.4070
2.9397 5.7793 9.1092
1.9270 5.3078 5.7631
1.2127 -0.1204 4.5874
1.3551 1.6164 4.8909
4.5603 5.7724 13.4540
1.4960 5.4705 17.2908
4.4193 5.7112 8.1161
1.4960 1.6775 10.2288
1.3551 6.0131 4.2792
4.4193 1.9182 1.0540
4.5603 1.3757 14.0656
4.4322 1.7461 7.5242
4.4322 5.8834 1.6459
1.4832 5.6427 10.8207
1.4832 1.5053 16.6989
```

Results
Crystal system: monoclinic

---

Record 3
Here is a crystal of LaZr2Cu relaxed with PBEsol from Alexandria via LeMat-Bulk. Energies are from SCAN.

Structure (POSCAR):
```
LaZr2Cu
1.0
-1.7432 2.8001 -0.5750
-1.1101 -1.6470 -4.6547
-2.8120 -2.8430 4.4278
Zr Cu La
2 1 1
Cartesian
-3.2940 0.1048 0.7485
-0.0421 -0.0225 0.0180
-4.1098 -2.1975 1.7578
-2.4582 -1.8411 -1.5134
```

Results
Crystal system: orthorhombic
Formation enthalpy at 0 K, meV/atom: 141

---

Number 1: VASP energy -85.702 eV/f.u.. Number 2: VASP energy -568.507 eV/f.u.. Number 3: VASP energy -119.138 eV/f.u..